First-principles (PBE-GGA) data for an optimized crystal structure of TbZn2CuPd4, as listed in the Alexandria database.

abc: 4.3903 4.3903 8.2440
angles: 74.56 74.56 60.00
Fractional positions:
Tb 0.0000 0.0000 0.0000
Pd 0.8734 0.8734 0.3799
Pd 0.3925 0.3925 0.8225
Pd 0.6075 0.6075 0.1775
Pd 0.1266 0.1266 0.6201
Zn 0.2406 0.2406 0.2783
Zn 0.7594 0.7594 0.7217
Cu 0.5000 0.5000 0.5000

Output
- DFT formation energy: -52.8 kJ per mole of atoms
- Uncorrected energy: -36.4 eV for the cell shown

First-principles (PBE-GGA) data for an optimized crystal structure of Zn2GeAs2, as listed in the Alexandria database.

abc: 3.8676 3.8676 7.1141
angles: 74.23 74.23 90.00
Fractional positions:
As 0.6161 0.6161 0.7677
As 0.3839 0.3839 0.2323
Zn 0.7500 0.2500 0.5000
Zn 0.2500 0.7500 0.5000
Ge 0.0000 0.0000 0.0000

Output
- DFT formation energy: 16.4 kJ per mole of atoms
- E above lowest polymorph: 0.0000 eV/atom
- Uncorrected energy: -15.6 eV for the cell shown

First-principles (PBE-GGA) data for an optimized crystal structure of Mg2ZnCd9, as listed in the Alexandria database.

abc: 4.5052 4.5052 12.8491
angles: 90.00 90.00 90.00
Fractional positions:
Cd 0.0000 0.5000 0.8396
Cd 0.0000 0.5000 0.5000
Cd 0.5000 0.0000 0.1604
Cd 0.5000 0.0000 0.5000
Cd 0.5000 0.5000 0.6707
Cd 0.5000 0.0000 0.8396
Cd 0.5000 0.5000 0.0000
Cd 0.5000 0.5000 0.3293
Cd 0.0000 0.5000 0.1604
Zn 0.0000 0.0000 0.0000
Mg 0.0000 0.0000 0.3301
Mg 0.0000 0.0000 0.6699

Output
- DFT formation energy: -1.0 kJ per mole of atoms
- Uncorrected energy: -12.8 eV for the cell shown

First-principles (PBE-GGA) data for an optimized crystal structure of MnFeAs3, as listed in the Alexandria database.

abc: 4.5104 4.5104 4.5104
angles: 90.00 90.00 90.00
Fractional positions:
Fe 0.0000 0.0000 0.0000
As 0.0000 0.0000 0.5000
As 0.0000 0.5000 0.0000
As 0.5000 0.0000 0.0000
Mn 0.5000 0.5000 0.5000

Output
- DFT formation energy: 94.6 kJ per mole of atoms
- Uncorrected energy: -26.7 eV for the cell shown

First-principles (PBE-GGA) data for an optimized crystal structure of TcPbBr2, as listed in the Alexandria database.

abc: 10.5240 10.5240 10.5240
angles: 19.23 19.23 19.23
Fractional positions:
Br 0.4683 0.4683 0.4683
Br 0.0317 0.0317 0.0317
Tc 0.7500 0.7500 0.7500
Pb 0.2500 0.2500 0.2500

Output
- E above lowest polymorph: 0.1727 eV/atom
- Uncorrected energy: -16.7 eV for the cell shown

First-principles (PBE-GGA) data for an optimized crystal structure of Pr4PtBr5, as listed in the Alexandria database.

abc: 4.1938 8.8831 9.8698
angles: 103.78 102.27 90.00
Fractional positions:
Br 0.5000 0.5000 0.0000
Br 0.8322 0.6610 0.6644
Br 0.1678 0.3390 0.3356
Br 0.1722 0.8440 0.3443
Br 0.8278 0.1560 0.6557
Pr 0.0009 0.2218 0.0018
Pr 0.6538 0.0879 0.3076
Pr 0.9991 0.7782 0.9982
Pr 0.3462 0.9121 0.6924
Pt 0.5000 0.0000 0.0000

Output
- Uncorrected energy: -48.9 eV for the cell shown

First-principles (PBE-GGA) data for an optimized crystal structure of Sn3NO, as listed in the Alexandria database.

abc: 4.7496 4.7496 4.7496
angles: 90.00 90.00 90.00
Fractional positions:
Sn 0.0000 0.5000 0.0000
Sn 0.0000 0.0000 0.5000
Sn 0.5000 0.0000 0.0000
N 0.5000 0.5000 0.5000
O 0.0000 0.0000 0.0000

Output
- E above lowest polymorph: 0.0000 eV/atom
- Uncorrected energy: -21.9 eV for the cell shown

First-principles (PBE-GGA) data for an optimized crystal structure of ZrScCdRh, as listed in the Alexandria database.

abc: 4.8016 4.8016 4.8016
angles: 60.00 60.00 60.00
Fractional positions:
Zr 0.5000 0.5000 0.5000
Rh 0.2500 0.2500 0.2500
Sc 0.0000 0.0000 0.0000
Cd 0.7500 0.7500 0.7500

Output
- DFT formation energy: -40.8 kJ per mole of atoms
- E above lowest polymorph: 0.1065 eV/atom
- Uncorrected energy: -24.8 eV for the cell shown

First-principles (PBE-GGA) data for an optimized crystal structure of LaPmCoI, as listed in the Alexandria database.

abc: 4.0772 4.0723 8.5029
angles: 90.01 103.78 119.98
Fractional positions:
I 0.9717 0.3840 0.3709
Co 0.3037 0.5498 0.8698
Pm 0.5126 0.1541 0.6832
La 0.0898 0.9430 0.0457

Output
- Uncorrected energy: -20.8 eV for the cell shown

First-principles (PBE-GGA) data for an optimized crystal structure of Y2InCu12Ni3, as listed in the Alexandria database.

abc: 6.4392 6.4392 6.4392
angles: 83.53 83.53 83.53
Fractional positions:
In 0.0000 0.0000 0.0000
Cu 0.2044 0.7079 0.2044
Cu 0.2921 0.7956 0.7956
Cu 0.2044 0.2044 0.7079
Cu 0.5790 0.5790 0.1458
Cu 0.8542 0.4210 0.4210
Cu 0.7956 0.2921 0.7956
Cu 0.7079 0.2044 0.2044
Cu 0.1458 0.5790 0.5790
Cu 0.7956 0.7956 0.2921
Cu 0.5790 0.1458 0.5790
Cu 0.4210 0.8542 0.4210
Cu 0.4210 0.4210 0.8542
Y 0.2593 0.2593 0.2593
Y 0.7407 0.7407 0.7407
Ni 0.0000 0.0000 0.5000
Ni 0.0000 0.5000 0.0000
Ni 0.5000 0.0000 0.0000

Output
- DFT formation energy: 5.7 kJ per mole of atoms
- Uncorrected energy: -81.1 eV for the cell shown

First-principles (PBE-GGA) data for an optimized crystal structure of AlNiPdRh, as listed in the Alexandria database.

abc: 4.2444 4.2444 4.2444
angles: 60.00 60.00 60.00
Fractional positions:
Al 0.7500 0.7500 0.7500
Ni 0.2500 0.2500 0.2500
Rh 0.0000 0.0000 0.0000
Pd 0.5000 0.5000 0.5000

Output
- DFT formation energy: -49.5 kJ per mole of atoms
- Uncorrected energy: -24.1 eV for the cell shown

First-principles (PBE-GGA) data for an optimized crystal structure of PrPaHg2, as listed in the Alexandria database.

abc: 3.3681 3.3681 9.1721
angles: 90.00 90.00 90.00
Fractional positions:
Hg 0.0000 0.0000 0.2559
Hg 0.0000 0.0000 0.7441
Pa 0.5000 0.5000 0.5000
Pr 0.5000 0.5000 0.0000

Output
- DFT formation energy: -13.2 kJ per mole of atoms
- E above lowest polymorph: 0.0000 eV/atom
- Uncorrected energy: -15.4 eV for the cell shown

First-principles (PBE-GGA) data for an optimized crystal structure of Pm2ErAg4, as listed in the Alexandria database.

abc: 5.3471 5.3471 7.4691
angles: 110.97 110.97 90.00
Fractional positions:
Er 0.0000 0.0000 0.0000
Pm 0.2786 0.2786 0.5573
Pm 0.7214 0.7214 0.4427
Ag 0.8856 0.3856 0.7712
Ag 0.6144 0.1144 0.2288
Ag 0.3856 0.8856 0.7712
Ag 0.1144 0.6144 0.2288

Output
- DFT formation energy: -10.5 kJ per mole of atoms
- Uncorrected energy: -26.2 eV for the cell shown

First-principles (PBE-GGA) data for an optimized crystal structure of NbTeCI2, as listed in the Alexandria database.

abc: 4.9105 4.9105 4.8139
angles: 90.00 90.00 90.00
Fractional positions:
Te 0.0000 0.0000 0.5000
Nb 0.5000 0.5000 0.5000
C 0.0000 0.0000 0.0000
I 0.0000 0.5000 0.0000
I 0.5000 0.0000 0.0000

Output
- E above lowest polymorph: 0.0000 eV/atom
- Uncorrected energy: -18.5 eV for the cell shown

First-principles (PBE-GGA) data for an optimized crystal structure of Nd2Al2ZnPd5, as listed in the Alexandria database.

abc: 3.2132 10.6672 10.6672
angles: 90.00 90.00 90.00
Fractional positions:
Pd 0.5000 0.1970 0.0560
Pd 0.5000 0.8030 0.9440
Pd 0.5000 0.5000 0.0000
Pd 0.5000 0.9440 0.1970
Pd 0.5000 0.3030 0.5560
Pd 0.5000 0.6970 0.4440
Pd 0.5000 0.5560 0.6970
Pd 0.5000 0.4440 0.3030
Pd 0.5000 0.0000 0.5000
Pd 0.5000 0.0560 0.8030
Nd 0.0000 0.1749 0.3251
Nd 0.0000 0.8251 0.6749
Nd 0.0000 0.3251 0.8251
Nd 0.0000 0.6749 0.1749
Zn 0.0000 0.0000 0.0000
Zn 0.0000 0.5000 0.5000
Al 0.0000 0.1282 0.6282
Al 0.0000 0.6282 0.8718
Al 0.0000 0.3718 0.1282
Al 0.0000 0.8718 0.3718

Output
- DFT formation energy: -65.8 kJ per mole of atoms
- Uncorrected energy: -102.2 eV for the cell shown

First-principles (PBE-GGA) data for an optimized crystal structure of Er2BeO, as listed in the Alexandria database.

abc: 3.3752 3.3752 8.5245
angles: 78.58 78.58 60.00
Fractional positions:
Be 0.0000 0.0000 0.0000
Er 0.8872 0.8872 0.3384
Er 0.1128 0.1128 0.6616
O 0.5000 0.5000 0.5000

Output
- Uncorrected energy: -20.5 eV for the cell shown

First-principles (PBE-GGA) data for an optimized crystal structure of LiErHfRe, as listed in the Alexandria database.

abc: 4.7480 4.7480 4.7480
angles: 60.00 60.00 60.00
Fractional positions:
Re 0.5000 0.5000 0.5000
Er 0.7500 0.7500 0.7500
Li 0.0000 0.0000 0.0000
Hf 0.2500 0.2500 0.2500

Output
- DFT formation energy: -6.5 kJ per mole of atoms
- Uncorrected energy: -29.1 eV for the cell shown

First-principles (PBE-GGA) data for an optimized crystal structure of AgTeO3, as listed in the Alexandria database.

abc: 5.6753 5.6753 6.3842
angles: 63.61 63.61 60.00
Fractional positions:
O 0.9637 0.5494 0.2965
O 0.1904 0.9637 0.2965
O 0.8096 0.0363 0.7035
O 0.0363 0.4506 0.7035
O 0.5494 0.1904 0.2965
O 0.4506 0.8096 0.7035
Te 0.1617 0.1617 0.5149
Te 0.8383 0.8383 0.4851
Ag 0.3664 0.3664 0.9009
Ag 0.6336 0.6336 0.0991

Output
- Uncorrected energy: -47.7 eV for the cell shown

First-principles (PBE-GGA) data for an optimized crystal structure of BeAgPd2, as listed in the Alexandria database.

abc: 3.7794 3.7794 9.2965
angles: 78.27 78.27 90.00
Fractional positions:
Pd 0.1416 0.6250 0.2500
Pd 0.8750 0.8584 0.7500
Pd 0.3750 0.3916 0.7500
Pd 0.6084 0.1250 0.2500
Be 0.2500 0.7500 0.5000
Be 0.5000 0.5000 0.0000
Ag 0.7500 0.2500 0.5000
Ag 0.0000 0.0000 0.0000

Output
- DFT formation energy: 24.6 kJ per mole of atoms
- Uncorrected energy: -31.9 eV for the cell shown

First-principles (PBE-GGA) data for an optimized crystal structure of Mg2AsI, as listed in the Alexandria database.

abc: 6.3752 6.3752 7.8454
angles: 66.03 66.03 90.00
Fractional positions:
As 0.5000 0.5000 0.0000
As 0.2500 0.7500 0.5000
I 0.7500 0.2500 0.5000
I 0.0000 0.0000 0.0000
Mg 0.3750 0.4432 0.7500
Mg 0.5568 0.1250 0.2500
Mg 0.8750 0.8068 0.7500
Mg 0.1932 0.6250 0.2500

Output
- Uncorrected energy: -24.0 eV for the cell shown

Number 1: spin magnetization 0.0 μB/f.u.. Number 2: spin magnetization 0.0 μB/f.u.. Number 3: spin magnetization 0.0 μB/f.u.. Number 4: spin magnetization 0.1 μB/f.u.. Number 5: spin magnetization 1.0 μB/f.u.. Number 6: spin magnetization 0.0 μB/f.u.. Number 7: spin magnetization 0.0 μB/f.u.. Number 8: spin magnetization 0.0 μB/f.u.. Number 9: spin magnetization 0.0 μB/f.u.. Number 10: spin magnetization 0.0 μB/f.u.. Number 11: spin magnetization 1.0 μB/f.u.. Number 12: spin magnetization 1.0 μB/f.u.. Number 13: spin magnetization 0.0 μB/f.u.. Number 14: spin magnetization 2.4 μB/f.u.. Number 15: spin magnetization 0.0 μB/f.u.. Number 16: spin magnetization 0.0 μB/f.u.. Number 17: spin magnetization 0.0 μB/f.u.. Number 18: spin magnetization 0.0 μB/f.u.. Number 19: spin magnetization 0.0 μB/f.u.. Number 20: spin magnetization 0.0 μB/f.u..